First-principles (PBE) data for a relaxed DyTh2Pa crystal, as listed in Alexandria.

Its crystal system is tetragonal. As for the final energy: -28.61 eV/cell. The energy above the most stable polymorph in this dataset is 0.000 eV per atom. The magnetization is 0.0 μB per formula unit. The formation energy is 82 meV/atom.

The space group is P4/mmm (No. 123) and the conventional cell measures 3.4976, 3.4976 and 9.8379 Å, with angles of 90.00, 90.00 and 90.00 degrees. The inequivalent atoms are Dy at (0.0000, 0.0000, 0.0000), Th at (0.5000, 0.5000, 0.2603) and Pa at (0.0000, 0.0000, 0.5000).

***

First-principles (PBE) data for a relaxed Ca2TbGa3Au4 crystal, as listed in Alexandria.

Its crystal system is tetragonal. As for the final energy: -36.94 eV/cell. The magnetization is 0.0 μB per formula unit. The formation energy is -611 meV/atom.

The space group is P-4m2 (No. 115) and the conventional cell measures 4.4313, 4.4313 and 11.5679 Å, with angles of 90.00, 90.00 and 90.00 degrees. The inequivalent atoms are Ca at (0.0000, 0.5000, 0.2209), Tb at (0.0000, 0.0000, 0.5000), Ga at (0.0000, 0.5000, 0.8784), Ga at (0.5000, 0.5000, 0.5000), Au at (0.0000, 0.0000, 0.0000), Au at (0.0000, 0.5000, 0.6603) and Au at (0.5000, 0.5000, 0.0000).

***

First-principles (PBE) data for a relaxed RbYHfMg2 crystal, as listed in Alexandria.

Its crystal system is tetragonal. As for the final energy: -15.54 eV/cell. The magnetization is 0.0 μB per formula unit. The formation energy is 1007 meV/atom.

The space group is P4/mmm (No. 123) and the conventional cell measures 6.0761, 6.0761 and 5.4563 Å, with angles of 90.00, 90.00 and 90.00 degrees. The inequivalent atoms are Rb at (0.0000, 0.0000, 0.0000), Y at (0.5000, 0.5000, 0.5000), Hf at (0.5000, 0.5000, 0.0000) and Mg at (0.0000, 0.5000, 0.5000).

***

First-principles (PBE) data for a relaxed Nd8Sn2Au crystal, as listed in Alexandria.

Its crystal system is monoclinic. As for the final energy: -108.08 eV/cell. The magnetization is 0.0 μB per formula unit. The formation energy is -419 meV/atom.

The space group is C2/m (No. 12) and the conventional cell measures 19.9301, 5.1861 and 6.9835 Å, with angles of 90.00, 104.94 and 90.00 degrees. The inequivalent atoms are Nd at (0.0170, 0.0000, 0.2772), Nd at (0.0932, 0.5000, 0.9753), Nd at (0.1528, 0.5000, 0.4973), Nd at (0.2155, 0.0000, 0.8200), Sn at (0.1806, 0.0000, 0.2532) and Au at (0.0000, 0.5000, 0.5000).

***

First-principles (PBE) data for a relaxed UHgAs2 crystal, as listed in Alexandria.

Its crystal system is tetragonal. As for the final energy: -22.29 eV/cell. The energy above the most stable polymorph in this dataset is 0.000 eV per atom. The magnetization is 1.7 μB per formula unit. The formation energy is -351 meV/atom.

The space group is P4/mmm (No. 123) and the conventional cell measures 4.6846, 4.6846 and 3.7617 Å, with angles of 90.00, 90.00 and 90.00 degrees. The inequivalent atoms are U at (0.0000, 0.0000, 0.0000), Hg at (0.5000, 0.5000, 0.0000) and As at (0.0000, 0.5000, 0.5000).

***

First-principles (PBE) data for a relaxed Cs2SbI2Br4 crystal, as listed in Alexandria.

Its crystal system is tetragonal. As for the final energy: -49.92 eV/cell. The magnetization is 0.0 μB per formula unit. The raw formation energy is -9.3 eV/f.u.

The space group is I4/mmm (No. 139) and the conventional cell measures 8.2742, 8.2742 and 11.0757 Å, with angles of 90.00, 90.00 and 90.00 degrees. The inequivalent atoms are Cs at (0.0000, 0.5000, 0.2500), Sb at (0.0000, 0.0000, 0.0000), I at (0.0000, 0.0000, 0.2648) and Br at (0.2338, 0.2338, 0.0000).

***

First-principles (PBE) data for a relaxed Na2ZrN2 crystal, as listed in Alexandria.

Its crystal system is trigonal. As for the final energy: -93.44 eV/cell. The magnetization is 0.0 μB per formula unit. The raw formation energy is -3.3 eV/f.u.

The space group is R-3m (No. 166, hexagonal axes) and the conventional cell measures 3.3610, 3.3610 and 27.0444 Å, with angles of 90.00, 90.00 and 120.00 degrees. The inequivalent atoms are Na at (0.0000, 0.0000, 0.2372), Zr at (0.0000, 0.0000, 0.0000) and N at (0.0000, 0.0000, 0.3764).

***

First-principles (PBE) data for a relaxed TaInGaO2 crystal, as listed in Alexandria.

Its crystal system is tetragonal. As for the final energy: -26.27 eV/cell. The magnetization is 0.0 μB per formula unit. The raw formation energy is 1.3 eV/f.u.

The space group is P4/mmm (No. 123) and the conventional cell measures 3.8742, 3.8742 and 5.4658 Å, with angles of 90.00, 90.00 and 90.00 degrees. The inequivalent atoms are Ta at (0.0000, 0.0000, 0.0000), In at (0.5000, 0.5000, 0.0000), Ga at (0.5000, 0.5000, 0.5000) and O at (0.0000, 0.5000, 0.5000).

***

First-principles (PBE) data for a relaxed AcTbZn2In2 crystal, as listed in Alexandria.

Its crystal system is trigonal. As for the final energy: -19.42 eV/cell. The magnetization is 0.0 μB per formula unit. The formation energy is -442 meV/atom.

The space group is P-3m1 (No. 164) and the conventional cell measures 4.7488, 4.7488 and 7.9219 Å, with angles of 90.00, 90.00 and 120.00 degrees. The inequivalent atoms are Ac at (0.0000, 0.0000, 0.0000), Tb at (0.0000, 0.0000, 0.5000), Zn at (0.3333, 0.6667, 0.6949) and In at (0.3333, 0.6667, 0.2796).

***

First-principles (PBE) data for a relaxed YMg8Cd4 crystal, as listed in Alexandria.

Its crystal system is tetragonal. As for the final energy: -48.89 eV/cell. The magnetization is 0.0 μB per formula unit. The formation energy is -120 meV/atom.

The space group is I4/mmm (No. 139) and the conventional cell measures 10.0002, 10.0002 and 5.9137 Å, with angles of 90.00, 90.00 and 90.00 degrees. The inequivalent atoms are Y at (0.0000, 0.0000, 0.0000), Mg at (0.0000, 0.2119, 0.5000), Mg at (0.0000, 0.3493, 0.0000) and Cd at (0.2500, 0.2500, 0.2500).

***

First-principles (PBE) data for a relaxed PrInTe4 crystal, as listed in Alexandria.

Its crystal system is monoclinic. As for the final energy: -47.61 eV/cell. The magnetization is 0.0 μB per formula unit. The raw formation energy is -3.7 eV/f.u.

The space group is P2_1/m (No. 11) and the conventional cell measures 6.3572, 10.0814 and 7.8715 Å, with angles of 90.00, 110.93 and 90.00 degrees. The inequivalent atoms are Pr at (0.1082, 0.2500, 0.2175), In at (0.0933, 0.7500, 0.3273), Te at (0.2226, 0.5524, 0.1099), Te at (0.3328, 0.2500, 0.6520) and Te at (0.3436, 0.7500, 0.6948).

***

First-principles (PBE) data for a relaxed Cs2LiPdBr6 crystal, as listed in Alexandria.

Its crystal system is trigonal. As for the final energy: -180.81 eV/cell. The energy above the most stable polymorph in this dataset is 0.000 eV per atom. The magnetization is 0.6 μB per formula unit. The raw formation energy is -11.3 eV/f.u.

The space group is R-3m (No. 166, hexagonal axes) and the conventional cell measures 7.6579, 7.6579 and 38.7691 Å, with angles of 90.00, 90.00 and 120.00 degrees. The inequivalent atoms are Cs at (0.0000, 0.0000, 0.1230), Cs at (0.0000, 0.0000, 0.2947), Li at (0.0000, 0.0000, 0.4198), Pd at (0.0000, 0.0000, 0.0000), Pd at (0.0000, 0.0000, 0.5000), Br at (0.0127, 0.5064, 0.7052) and Br at (0.0162, 0.5081, 0.1272).